1.
# AsPb3Au2, relaxed, DFT PBE-GGA
# V ... 634.44 Å³/cell
# Calculated density ... 11.416 g cm⁻³
# Energy ... -3.74 eV/atom
# ΔH_f (0 K) ... -0.1 eV/f.u.
data_AsPb3Au2
_chemical_formula_sum 'As4 Pb12 Au8'
_space_group_name_H-M_alt 'P 1'
_space_group_IT_number 1
_space_group_name_Hall 'P 1'
_cell_length_a 10.760
_cell_length_b 9.564
_cell_length_c 6.312
_cell_angle_alpha 90.00
_cell_angle_beta 102.40
_cell_angle_gamma 90.00
loop_
_atom_site_label
_atom_site_type_symbol
_atom_site_fract_x
_atom_site_fract_y
_atom_site_fract_z
Pb1 Pb 0.964 0.665 0.159
Pb2 Pb 0.456 0.550 0.237
Pb3 Pb 0.241 0.327 0.448
Pb4 Pb 0.759 0.673 0.552
Pb5 Pb 0.044 0.050 0.263
Pb6 Pb 0.464 0.835 0.659
Pb7 Pb 0.036 0.335 0.841
Pb8 Pb 0.259 0.827 0.052
Pb9 Pb 0.544 0.450 0.763
Pb10 Pb 0.536 0.165 0.341
Pb11 Pb 0.741 0.173 0.948
Pb12 Pb 0.956 0.950 0.737
As1 As 0.948 0.360 0.263
As2 As 0.552 0.860 0.237
As3 As 0.448 0.140 0.763
As4 As 0.052 0.640 0.737
Au1 Au 0.313 0.278 0.027
Au2 Au 0.813 0.222 0.527
Au3 Au 0.208 0.055 0.710
Au4 Au 0.792 0.945 0.290
Au5 Au 0.292 0.555 0.790
Au6 Au 0.708 0.445 0.210
Au7 Au 0.187 0.778 0.473
Au8 Au 0.687 0.722 0.973

=====

2.
# As2Pd7Pb2Au, relaxed, DFT PBE-GGA
# V ... 231.74 Å³/cell
# Calculated density ... 10.792 g cm⁻³
# Energy ... -4.90 eV/atom
# ΔH_f (0 K) ... -2.4 eV/f.u.
data_As2Pd7Pb2Au
_chemical_formula_sum 'As2 Pd7 Pb2 Au1'
_space_group_name_H-M_alt 'P 1'
_space_group_IT_number 1
_space_group_name_Hall 'P 1'
_cell_length_a 4.043
_cell_length_b 4.043
_cell_length_c 14.301
_cell_angle_alpha 84.73
_cell_angle_beta 84.73
_cell_angle_gamma 89.82
loop_
_atom_site_label
_atom_site_type_symbol
_atom_site_fract_x
_atom_site_fract_y
_atom_site_fract_z
Pb1 Pb 0.888 0.888 0.389
Pb2 Pb 0.112 0.112 0.611
As1 As 0.575 0.575 0.756
As2 As 0.425 0.425 0.244
Pd1 Pd 0.044 0.545 0.856
Pd2 Pd 0.617 0.617 0.580
Pd3 Pd 0.383 0.383 0.420
Pd4 Pd 0.455 0.956 0.144
Pd5 Pd 0.545 0.044 0.856
Pd6 Pd 0.500 0.500 0.000
Pd7 Pd 0.956 0.455 0.144
Au1 Au 0.000 0.000 0.000

=====

3.
# AsPt2PbAu, relaxed, DFT PBE-GGA
# V ... 133.13 Å³/cell
# Calculated density ... 10.842 g cm⁻³
# Energy ... -3.68 eV/atom
# ΔH_f (0 K) ... 5.3 eV/f.u.
data_AsPt2PbAu
_chemical_formula_sum 'As1 Pt2 Pb1 Au1'
_space_group_name_H-M_alt 'P 1'
_space_group_IT_number 1
_space_group_name_Hall 'P 1'
_cell_length_a 5.039
_cell_length_b 5.242
_cell_length_c 5.039
_cell_angle_alpha 90.00
_cell_angle_beta 90.00
_cell_angle_gamma 90.00
loop_
_atom_site_label
_atom_site_type_symbol
_atom_site_fract_x
_atom_site_fract_y
_atom_site_fract_z
Au1 Au 0.000 0.000 0.000
As1 As 0.500 0.500 0.500
Pb1 Pb 0.000 0.500 0.000
Pt1 Pt 0.000 0.000 0.500
Pt2 Pt 0.500 0.000 0.000

=====

4.
# RbAs2PbAu4, relaxed, DFT PBE-GGA
# V ... 216.27 Å³/cell
# Calculated density ... 9.447 g cm⁻³
# Energy ... -3.52 eV/atom
# ΔH_f (0 K) ... -1.1 eV/f.u.
data_RbAs2PbAu4
_chemical_formula_sum 'Rb1 As2 Pb1 Au4'
_space_group_name_H-M_alt 'P 1'
_space_group_IT_number 1
_space_group_name_Hall 'P 1'
_cell_length_a 4.668
_cell_length_b 4.668
_cell_length_c 9.926
_cell_angle_alpha 90.00
_cell_angle_beta 90.00
_cell_angle_gamma 90.00
loop_
_atom_site_label
_atom_site_type_symbol
_atom_site_fract_x
_atom_site_fract_y
_atom_site_fract_z
Au1 Au 0.000 0.500 0.804
Au2 Au 0.500 0.000 0.196
Au3 Au 0.000 0.500 0.196
Au4 Au 0.500 0.000 0.804
Pb1 Pb 0.000 0.000 0.000
As1 As 0.500 0.500 0.702
As2 As 0.500 0.500 0.298
Rb1 Rb 0.000 0.000 0.500

=====

5.
# SbAsPbAu2, relaxed, DFT PBE-GGA
# V ... 139.90 Å³/cell
# Calculated density ... 9.469 g cm⁻³
# Energy ... -3.44 eV/atom
# Raw formation energy ... 367.3 meV per atom
data_SbAsPbAu2
_chemical_formula_sum 'Sb1 As1 Pb1 Au2'
_space_group_name_H-M_alt 'P 1'
_space_group_IT_number 1
_space_group_name_Hall 'P 1'
_cell_length_a 4.874
_cell_length_b 5.890
_cell_length_c 4.874
_cell_angle_alpha 90.00
_cell_angle_beta 90.00
_cell_angle_gamma 90.00
loop_
_atom_site_label
_atom_site_type_symbol
_atom_site_fract_x
_atom_site_fract_y
_atom_site_fract_z
Au1 Au 0.000 0.000 0.500
Au2 Au 0.500 0.000 0.000
Pb1 Pb 0.000 0.500 0.000
As1 As 0.000 0.000 0.000
Sb1 Sb 0.500 0.500 0.500

=====

6.
# Sb2AsPb3Au6, relaxed, DFT PBE-GGA
# V ... 290.47 Å³/cell
# Calculated density ... 12.130 g cm⁻³
# Energy ... -3.64 eV/atom
# Raw formation energy ... 2.6 meV per atom
data_Sb2AsPb3Au6
_chemical_formula_sum 'Sb2 As1 Pb3 Au6'
_space_group_name_H-M_alt 'P 1'
_space_group_IT_number 1
_space_group_name_Hall 'P 1'
_cell_length_a 6.045
_cell_length_b 6.045
_cell_length_c 9.177
_cell_angle_alpha 90.00
_cell_angle_beta 90.00
_cell_angle_gamma 120.00
loop_
_atom_site_label
_atom_site_type_symbol
_atom_site_fract_x
_atom_site_fract_y
_atom_site_fract_z
Au1 Au 0.339 0.170 0.720
Au2 Au 0.830 0.661 0.720
Au3 Au 0.830 0.170 0.720
Au4 Au 0.170 0.339 0.280
Au5 Au 0.170 0.830 0.280
Au6 Au 0.661 0.830 0.280
Pb1 Pb 0.333 0.667 0.595
Pb2 Pb 0.667 0.333 0.405
Pb3 Pb 0.000 0.000 0.000
As1 As 0.000 0.000 0.500
Sb1 Sb 0.667 0.333 0.962
Sb2 Sb 0.333 0.667 0.038

=====

7.
# AsPbAuSe2, relaxed, DFT PBE-GGA
# V ... 135.39 Å³/cell
# Calculated density ... 7.813 g cm⁻³
# Energy ... -3.40 eV/atom
# Raw formation energy ... 325.4 meV per atom
# Energy relative to the lowest polymorph listed for this composition ... 0 meV/atom
data_AsPbAuSe2
_chemical_formula_sum 'As1 Pb1 Au1 Se2'
_space_group_name_H-M_alt 'P 1'
_space_group_IT_number 1
_space_group_name_Hall 'P 1'
_cell_length_a 5.280
_cell_length_b 5.280
_cell_length_c 4.856
_cell_angle_alpha 90.00
_cell_angle_beta 90.00
_cell_angle_gamma 90.00
loop_
_atom_site_label
_atom_site_type_symbol
_atom_site_fract_x
_atom_site_fract_y
_atom_site_fract_z
Se1 Se 0.500 0.000 0.000
Se2 Se 0.000 0.500 0.000
As1 As 0.000 0.000 0.500
Pb1 Pb 0.500 0.500 0.500
Au1 Au 0.000 0.000 0.000

=====

8.
# SiAsPb2Au6, relaxed, DFT PBE-GGA
# V ... 452.83 Å³/cell
# Calculated density ... 12.462 g cm⁻³
# Energy ... -3.75 eV/atom
# Raw formation energy ... -36.1 meV per atom
data_SiAsPb2Au6
_chemical_formula_sum 'Si2 As2 Pb4 Au12'
_space_group_name_H-M_alt 'P 1'
_space_group_IT_number 1
_space_group_name_Hall 'P 1'
_cell_length_a 5.825
_cell_length_b 8.983
_cell_length_c 8.654
_cell_angle_alpha 90.00
_cell_angle_beta 90.00
_cell_angle_gamma 90.00
loop_
_atom_site_label
_atom_site_type_symbol
_atom_site_fract_x
_atom_site_fract_y
_atom_site_fract_z
Si1 Si 0.000 0.746 0.000
Si2 Si 0.500 0.254 0.500
Au1 Au 0.240 0.027 0.500
Au2 Au 0.740 0.973 0.000
Au3 Au 0.000 0.874 0.741
Au4 Au 0.260 0.973 0.000
Au5 Au 0.500 0.126 0.759
Au6 Au 0.246 0.526 0.000
Au7 Au 0.746 0.474 0.500
Au8 Au 0.000 0.874 0.259
Au9 Au 0.760 0.027 0.500
Au10 Au 0.500 0.126 0.241
Au11 Au 0.754 0.526 0.000
Au12 Au 0.254 0.474 0.500
As1 As 0.000 0.709 0.500
As2 As 0.500 0.291 0.000
Pb1 Pb 0.500 0.723 0.748
Pb2 Pb 0.000 0.277 0.248
Pb3 Pb 0.000 0.277 0.752
Pb4 Pb 0.500 0.723 0.252

=====

9.
# SiAsPb2Au, relaxed, DFT PBE-GGA
# V ... 154.28 Å³/cell
# Calculated density ... 7.689 g cm⁻³
# Energy ... -3.40 eV/atom
# Raw formation energy ... 751.0 meV per atom
data_SiAsPb2Au
_chemical_formula_sum 'Si1 As1 Pb2 Au1'
_space_group_name_H-M_alt 'P 1'
_space_group_IT_number 1
_space_group_name_Hall 'P 1'
_cell_length_a 5.637
_cell_length_b 4.856
_cell_length_c 5.637
_cell_angle_alpha 90.00
_cell_angle_beta 90.00
_cell_angle_gamma 90.00
loop_
_atom_site_label
_atom_site_type_symbol
_atom_site_fract_x
_atom_site_fract_y
_atom_site_fract_z
As1 As 0.000 0.500 0.000
Pb1 Pb 0.500 0.000 0.000
Pb2 Pb 0.000 0.000 0.500
Au1 Au 0.000 0.000 0.000
Si1 Si 0.500 0.500 0.500

=====

10.
# SrAsPb2Au2, relaxed, DFT PBE-GGA
# V ... 190.76 Å³/cell
# Calculated density ... 8.451 g cm⁻³
# Energy ... -3.47 eV/atom
# ΔH_f (0 K) ... -0.5 eV/f.u.
data_SrAsPb2Au2
_chemical_formula_sum 'Sr1 As1 Pb2 Au2'
_space_group_name_H-M_alt 'P 1'
_space_group_IT_number 1
_space_group_name_Hall 'P 1'
_cell_length_a 5.704
_cell_length_b 5.704
_cell_length_c 7.116
_cell_angle_alpha 113.63
_cell_angle_beta 113.63
_cell_angle_gamma 90.00
loop_
_atom_site_label
_atom_site_type_symbol
_atom_site_fract_x
_atom_site_fract_y
_atom_site_fract_z
Pb1 Pb 0.750 0.250 0.500
Pb2 Pb 0.250 0.750 0.500
Au1 Au 0.221 0.221 0.441
Au2 Au 0.779 0.779 0.559
Sr1 Sr 0.500 0.500 0.000
As1 As 0.000 0.000 0.000